Entry from the Alexandria database: a geometry-optimized Sm5Th3S12 structure (PBE).

Cell lengths 14.129, 14.129, 14.129 Å; angles 109.47, 109.47, 109.47 degrees
Sites, in units of the cell vectors:
Sm (0.000, 0.000, 0.000)
Sm (0.000, 0.000, 0.500)
Sm (0.000, 0.500, 0.000)
Sm (0.000, 0.500, 0.500)
Sm (0.125, 0.750, 0.875)
Sm (0.125, 0.875, 0.250)
Sm (0.250, 0.125, 0.875)
Sm (0.250, 0.625, 0.375)
Sm (0.375, 0.250, 0.625)
Sm (0.375, 0.625, 0.750)
Sm (0.500, 0.000, 0.000)
Sm (0.500, 0.000, 0.500)
Sm (0.500, 0.500, 0.000)
Sm (0.500, 0.500, 0.500)
Sm (0.625, 0.375, 0.250)
Sm (0.625, 0.750, 0.375)
Sm (0.750, 0.375, 0.625)
Sm (0.750, 0.875, 0.125)
Sm (0.875, 0.125, 0.750)
Sm (0.875, 0.250, 0.125)
Th (0.125, 0.250, 0.375)
Th (0.125, 0.375, 0.750)
Th (0.250, 0.375, 0.125)
Th (0.250, 0.875, 0.625)
Th (0.375, 0.125, 0.250)
Th (0.375, 0.750, 0.125)
Th (0.625, 0.250, 0.875)
Th (0.625, 0.875, 0.750)
Th (0.750, 0.125, 0.375)
Th (0.750, 0.625, 0.875)
Th (0.875, 0.625, 0.250)
Th (0.875, 0.750, 0.625)
S (0.053, 0.227, 0.133)
S (0.053, 0.326, 0.920)
S (0.080, 0.633, 0.406)
S (0.080, 0.947, 0.674)
S (0.094, 0.727, 0.674)
S (0.094, 0.867, 0.420)
S (0.133, 0.053, 0.227)
S (0.133, 0.580, 0.906)
S (0.174, 0.227, 0.594)
S (0.174, 0.447, 0.580)
S (0.227, 0.133, 0.053)
S (0.227, 0.594, 0.174)
S (0.273, 0.326, 0.906)
S (0.273, 0.447, 0.367)
S (0.326, 0.906, 0.273)
S (0.326, 0.920, 0.053)
S (0.367, 0.273, 0.447)
S (0.367, 0.594, 0.920)
S (0.406, 0.080, 0.633)
S (0.406, 0.826, 0.773)
S (0.420, 0.094, 0.867)
S (0.420, 0.826, 0.553)
S (0.447, 0.367, 0.273)
S (0.447, 0.580, 0.174)
S (0.553, 0.420, 0.826)
S (0.553, 0.633, 0.727)
S (0.580, 0.174, 0.447)
S (0.580, 0.906, 0.133)
S (0.594, 0.174, 0.227)
S (0.594, 0.920, 0.367)
S (0.633, 0.406, 0.080)
S (0.633, 0.727, 0.553)
S (0.674, 0.080, 0.947)
S (0.674, 0.094, 0.727)
S (0.727, 0.553, 0.633)
S (0.727, 0.674, 0.094)
S (0.773, 0.406, 0.826)
S (0.773, 0.867, 0.947)
S (0.826, 0.553, 0.420)
S (0.826, 0.773, 0.406)
S (0.867, 0.420, 0.094)
S (0.867, 0.947, 0.773)
S (0.906, 0.133, 0.580)
S (0.906, 0.273, 0.326)
S (0.920, 0.053, 0.326)
S (0.920, 0.367, 0.594)
S (0.947, 0.674, 0.080)
S (0.947, 0.773, 0.867)

Summary:
Uncorrected formation energy in meV per atom: -1752
SG: Ia-3d, No. 230